Record 1
# Ce2ScZn2Ge2

A relaxed Ce2ScZn2Ge2 crystal (PBE, Alexandria).

Cell and atoms, written as extended XYZ:
```
7
Lattice="4.2782 0.0000 0.0000 2.1391 3.7051 0.0000 2.1391 1.2350 8.7938" Properties=species:S:1:pos:R:3 pbc="T T T"
Ce 2.1391 1.2350 5.1056
Ce 6.4174 3.7051 3.6882
Sc 0.0000 0.0000 0.0000
Zn 4.2782 2.4700 1.7170
Zn 4.2782 2.4700 7.0769
Ge 6.4174 3.7051 7.1094
Ge 2.1391 1.2350 1.6844
```

Total moment   1.6 Bohr magnetons per cell
Energy   -4.645 eV/atom

***

Record 2
# Ce2GeSe5

A relaxed Ce2GeSe5 crystal (PBE, Alexandria).

Cell and atoms, written as extended XYZ:
```
16
Lattice="5.6477 0.0000 0.0000 -2.8239 6.7803 0.0000 0.0000 0.0000 13.6041" Properties=species:S:1:pos:R:3 pbc="T T T"
Ce 2.8239 4.7970 5.9143
Ce 2.8239 4.7970 0.8878
Ce 0.0000 1.9833 7.6898
Ce 0.0000 1.9833 12.7163
Ge 2.8239 4.1120 10.2031
Ge 0.0000 2.6683 3.4010
Se 2.8239 6.0760 11.9826
Se 2.8239 6.0760 8.4235
Se 0.0000 4.2980 5.8890
Se 0.0000 4.2980 0.9130
Se 2.8239 3.3152 3.4010
Se 0.0000 3.4651 10.2031
Se 2.8239 2.4823 7.7151
Se 2.8239 2.4823 12.6911
Se 0.0000 0.7044 1.6215
Se 0.0000 0.7044 5.1806
```

Formation energy (no corrections)   -1172 meV/atom
Total moment   0.6 Bohr magnetons per cell
Energy relative to the lowest polymorph listed for this composition   88 meV/atom

***

Record 3
# Ce3GeSe2

A relaxed Ce3GeSe2 crystal (PBE, Alexandria).

Cell and atoms, written as extended XYZ:
```
6
Lattice="-0.4595 -2.2364 -3.5694 -2.2096 -4.5595 3.1412 -4.4998 5.7343 -0.4987" Properties=species:S:1:pos:R:3 pbc="T T T"
Ce -3.9074 1.5647 -0.4774
Ce 0.0000 0.0000 0.0000
Ce -3.2615 -2.6263 -0.4495
Ge -1.1048 -2.2798 1.5706
Se -2.1765 -0.3386 -2.0225
Se -4.9924 -0.7230 1.0957
```

Formation energy (no corrections)   -1491 meV/atom
Total moment   2.5 Bohr magnetons per cell

***

Record 4
# CeGe2Se8

A relaxed CeGe2Se8 crystal (PBE, Alexandria).

Cell and atoms, written as extended XYZ:
```
11
Lattice="7.4140 0.0000 0.0000 0.0000 7.4140 0.0000 -3.7070 -3.7070 5.3424" Properties=species:S:1:pos:R:3 pbc="T T T"
Ce 3.7070 3.7070 0.0000
Ge 3.7070 0.0000 2.6712
Ge 0.0000 3.7070 2.6712
Se 5.5968 1.8151 1.2558
Se -1.8919 1.8898 4.0867
Se 1.8919 -1.8898 4.0867
Se -1.8898 -1.8919 4.0867
Se 1.8172 5.5989 1.2558
Se 5.5989 5.5968 1.2558
Se 1.8151 1.8172 1.2558
Se 1.8898 1.8919 4.0867
```

Formation energy (no corrections)   -359 meV/atom
Total moment   0.0 Bohr magnetons per cell

***

Record 5
# Ce10Ge3Se3

A relaxed Ce10Ge3Se3 crystal (PBE, Alexandria).

Cell and atoms, written as extended XYZ:
```
16
Lattice="-3.8073 4.2404 2.2033 -0.1075 3.9985 -7.8811 -5.9318 -6.2858 1.8474" Properties=species:S:1:pos:R:3 pbc="T T T"
Ce -3.0170 1.6485 -4.0781
Ce -4.9584 -1.7796 -0.8352
Ce -6.8297 0.3045 0.2477
Ce -4.8883 3.7326 -2.9951
Ce -6.2555 -2.4914 2.4570
Ce -1.9826 5.0536 -4.6802
Ce -3.5123 1.5109 -0.5055
Ce -1.5838 -1.6783 0.4933
Ce -0.0287 1.0676 -2.1043
Ce -4.4268 -1.6766 -4.4227
Ge -4.1446 -0.2545 1.7996
Ge -1.9443 3.6308 -1.8757
Ge -5.6614 0.6970 -2.6526
Se -3.7032 -3.9243 1.1533
Se -0.0671 2.4963 -4.9202
Se -2.2689 -0.8594 -2.2668
```

Formation energy (no corrections)   -893 meV/atom
Total moment   8.5 Bohr magnetons per cell

***

Record 6
# Ce3Ge5Se12

A relaxed Ce3Ge5Se12 crystal (PBE, Alexandria).

Cell and atoms, written as extended XYZ:
```
80
Lattice="14.1012 0.0000 0.0000 -4.7004 13.2947 0.0000 -4.7004 -6.6474 11.5136" Properties=species:S:1:pos:R:3 pbc="T T T"
Ce 8.2257 4.1546 1.4392
Ce 8.2257 9.1401 1.4392
Ce -1.1751 5.8164 7.1960
Ce 1.1751 -0.8309 4.3176
Ce 10.5759 0.0000 2.8784
Ce 1.1751 6.6474 2.8784
Ce 3.5253 0.0000 8.6352
Ce -5.8755 6.6474 8.6352
Ce 3.5253 7.4783 7.1960
Ce 5.8755 0.8309 4.3176
Ce -3.5253 -2.4928 10.0744
Ce -3.5253 2.4928 10.0744
Ge -1.1751 3.3237 2.8784
Ge -2.3502 6.6474 0.0000
Ge 0.0000 0.0000 0.0000
Ge 3.5253 2.4928 1.4392
Ge 4.7004 -3.3237 5.7568
Ge 4.7004 6.6474 0.0000
Ge -3.5253 7.4783 4.3176
Ge 5.8755 -4.1546 10.0744
Ge 5.8755 5.8164 4.3176
Ge 1.1751 -3.3237 8.6352
Ge 3.5253 9.9710 2.8784
Ge 2.3502 3.3237 5.7568
Ge 7.0506 0.0000 0.0000
Ge -2.3502 -3.3237 5.7568
Ge -1.1751 0.8309 7.1960
Ge -1.1751 10.8020 1.4392
Ge -4.7004 3.3237 5.7568
Ge 8.2257 -0.8309 7.1960
Ge 1.1751 4.1546 10.0744
Ge 5.8755 3.3237 8.6352
Se 9.2994 1.4660 0.4384
Se 0.1014 4.4363 4.7063
Se 10.4836 3.0355 3.2782
Se 5.9678 2.0024 1.4888
Se 1.7176 5.0077 7.7970
Se 9.9524 6.6824 2.0402
Se -1.0828 7.6805 4.7670
Se -3.6176 11.2923 1.4888
Se 0.6326 8.2870 7.7970
Se 6.4990 6.6123 2.0402
Se 7.1520 3.6771 4.2680
Se 7.1520 11.8287 0.4384
Se -4.0678 5.9326 6.1951
Se 2.9018 4.8630 0.9897
Se -4.8018 9.6176 4.2680
Se 2.4516 -2.2110 6.8072
Se -0.6326 0.9248 2.4785
Se 2.9018 8.3967 1.0504
Se 5.9678 10.2592 3.2782
Se -0.5516 4.8980 1.0504
Se -2.9828 7.5722 9.0350
Se 3.4330 5.6142 4.7670
Se 6.4180 7.3622 6.1951
Se 5.2520 -1.7844 10.5238
Se 1.2674 1.0331 6.7465
Se -1.7176 -0.7148 5.3184
Se -0.5516 8.4317 0.9897
Se -1.2674 -3.6118 8.2353
Se 7.6832 -0.9248 2.4785
Se 5.2520 1.7493 10.4631
Se 1.7986 -1.7493 10.4631
Se 2.2488 8.8584 4.7063
Se 5.3330 5.7225 9.0350
Se 9.5022 -2.9703 7.2456
Se 8.7682 0.7148 5.3184
Se -2.4516 -5.1813 11.0752
Se 1.7986 1.7844 10.5238
Se 4.0678 -1.6396 3.7166
Se -1.7986 0.0350 9.4734
Se -2.4516 2.9703 7.2456
Se 8.3180 -4.6449 10.0248
Se 5.7832 -1.0331 6.7465
Se -1.2674 4.6449 10.0248
Se -5.2520 -0.0350 9.4734
Se 2.9828 1.6396 3.7166
Se -5.7832 3.6118 8.2353
Se 4.5990 2.2110 6.8072
Se -4.5990 5.1813 11.0752
```

Formation energy (no corrections)   -810 meV/atom
Total moment   8.5 Bohr magnetons per cell

***

Record 7
# Ce2GeSe4

A relaxed Ce2GeSe4 crystal (PBE, Alexandria).

Cell and atoms, written as extended XYZ:
```
14
Lattice="-3.1972 5.5494 -1.5869 -3.5588 -3.3261 -4.4613 -4.4737 -3.8603 6.4467" Properties=species:S:1:pos:R:3 pbc="T T T"
Ce -5.4345 1.4942 -4.1138
Ce -5.7952 -3.1311 4.5123
Ce -3.7963 -1.0756 1.3853
Ce -7.4334 -0.5613 -0.9867
Ge -4.2036 -1.9436 -2.5326
Ge -7.0261 0.3067 2.9311
Se -4.4184 0.2257 -1.4497
Se -6.6482 -5.4783 2.0528
Se -4.5814 3.8414 -1.6542
Se -2.7001 1.8317 0.7044
Se -6.2728 1.9786 1.0838
Se -8.5296 -3.4686 -0.3059
Se -6.8113 -1.8626 1.8482
Se -4.9568 -3.6155 -0.6853
```

Formation energy (no corrections)   -1202 meV/atom
Total moment   4.0 Bohr magnetons per cell

***

Record 8
# Ce6GeSe12

A relaxed Ce6GeSe12 crystal (PBE, Alexandria).

Cell and atoms, written as extended XYZ:
```
19
Lattice="-4.1739 -3.6528 6.1954 -3.9783 -3.2763 -6.5258 6.8799 -4.6705 -0.0325" Properties=species:S:1:pos:R:3 pbc="T T T"
Ce -3.7943 -7.1721 -1.3209
Ce -2.8737 -3.8656 1.9180
Ce -0.9868 -3.9106 -3.2578
Ce 2.5219 -4.4274 0.9579
Ce 1.6014 -7.7339 -2.2809
Ce -0.2855 -7.6889 2.8948
Ge 0.0000 0.0000 0.0000
Se -2.7933 -6.8325 1.3764
Se -1.1241 -6.8857 -2.7756
Se 1.6125 -7.2959 0.7417
Se 1.5210 -4.7671 -1.7394
Se -0.1482 -4.7139 2.4127
Se -2.8848 -4.3037 -1.1046
Se -1.8560 -4.8248 -5.8751
Se 3.5715 -6.7985 -4.2007
Se -6.2791 -5.7895 -1.9174
Se 0.5837 -6.7747 5.5122
Se -4.8439 -4.8010 3.8377
Se 5.0068 -5.8101 1.5544
```

Formation energy (no corrections)   -1523 meV/atom
Total moment   2.3 Bohr magnetons per cell

***

Record 9
# Ce3GeSe6

A relaxed Ce3GeSe6 crystal (PBE, Alexandria).

Cell and atoms, written as extended XYZ:
```
20
Lattice="-3.5142 -3.4719 5.3450 7.8018 -3.2207 3.0374 -0.7428 7.7120 4.5210" Properties=species:S:1:pos:R:3 pbc="T T T"
Ce 4.9624 0.8856 8.5863
Ce 1.4518 1.3933 11.5632
Ce 1.2803 2.0408 6.0015
Ce 1.3025 -1.9717 8.3650
Ce -3.0280 -1.4571 6.7664
Ce 0.4826 -1.9648 3.7895
Ge 0.6891 5.6825 4.3896
Ge 4.4387 -3.0991 6.1060
Se 4.2767 2.0290 5.9390
Se 2.0326 0.9161 8.6960
Se 1.9878 4.9120 6.4606
Se 4.2939 -2.0228 8.4276
Se -1.4034 6.7393 5.7159
Se -0.9882 3.0371 7.5280
Se 5.4038 -1.1572 4.0508
Se 5.1018 -5.5681 6.9538
Se -0.3843 3.4028 3.9207
Se 1.9219 -3.5320 5.8877
Se 1.9861 0.5717 3.4864
Se -0.2579 -0.5412 6.2434
```

Formation energy (no corrections)   -1451 meV/atom
Total moment   4.0 Bohr magnetons per cell

***

Record 10
# Ce3Ge2Se

A relaxed Ce3Ge2Se crystal (PBE, Alexandria).

Cell and atoms, written as extended XYZ:
```
12
Lattice="-0.1425 -0.2020 4.3230 3.8762 -6.4982 -2.3445 7.8079 4.4888 0.4672" Properties=species:S:1:pos:R:3 pbc="T T T"
Ce 1.3184 -1.7714 2.1293
Ce 6.8944 1.5655 0.3005
Ce 4.5816 0.1047 2.3245
Ce 4.6471 -3.7769 2.1453
Ce 10.2231 -0.4400 0.3165
Ce 6.9599 -2.3161 0.1212
Ge 0.0000 0.0000 0.0000
Ge 3.9039 2.2444 0.2336
Ge 5.7019 -5.3817 -0.0635
Ge 5.8396 3.1703 2.5093
Se 3.6668 -1.8520 0.0343
Se 7.8747 -0.3594 2.4114
```

Formation energy (no corrections)   -820 meV/atom
Total moment   7.9 Bohr magnetons per cell

***

Record 11
# CeGeSe3

A relaxed CeGeSe3 crystal (PBE, Alexandria).

Cell and atoms, written as extended XYZ:
```
10
Lattice="7.5305 -1.2252 1.7020 -4.7638 5.9595 -1.7020 -1.9038 -2.0630 7.2957" Properties=species:S:1:pos:R:3 pbc="T T T"
Ce 0.4066 3.2586 2.2787
Ce 0.7356 -0.1092 5.0170
Ge -3.1563 3.1587 6.2291
Ge 5.1642 1.4718 1.0665
Se -2.1959 -0.0497 4.7779
Se -4.2552 4.3293 0.8070
Se -0.8071 2.3143 4.7866
Se -1.5553 1.3575 1.2644
Se 1.8974 0.7338 2.5177
Se -4.7215 3.2078 4.3293
```

Formation energy (no corrections)   -775 meV/atom
Total moment   1.2 Bohr magnetons per cell
Energy relative to the lowest polymorph listed for this composition   235 meV/atom

***

Record 12
# Ce6Ge5Se

A relaxed Ce6Ge5Se crystal (PBE, Alexandria).

Cell and atoms, written as extended XYZ:
```
12
Lattice="0.7325 -3.7230 6.2678 -0.9057 -7.1594 -1.2903 5.7741 -4.1727 -1.7252" Properties=species:S:1:pos:R:3 pbc="T T T"
Ge 4.0921 -5.8392 1.7640
Ge 1.6286 -3.7779 -1.0062
Ge -0.0866 -5.4412 2.4888
Ge 3.2399 -7.5542 -2.0093
Ge 1.5089 -9.2159 1.4883
Se 0.0000 0.0000 0.0000
Ce 2.4006 -4.7808 4.0051
Ce 1.5859 -6.4977 0.2509
Ce -0.0444 -2.7256 1.2409
Ce -0.1288 -8.1567 3.7366
Ce 4.0151 -8.5574 3.0014
Ce 3.2004 -10.2743 -0.7528
```

Formation energy (no corrections)   -877 meV/atom
Total moment   1.8 Bohr magnetons per cell

***

Record 13
# Ce3GeSe3

A relaxed Ce3GeSe3 crystal (PBE, Alexandria).

Cell and atoms, written as extended XYZ:
```
14
Lattice="8.6956 0.0000 0.0000 4.3478 7.5306 0.0000 4.3478 2.5102 5.9743" Properties=species:S:1:pos:R:3 pbc="T T T"
Ce 5.8961 4.6510 1.3743
Ce 10.4152 2.7807 1.3743
Ce 9.7754 7.6295 1.3743
Ce 7.6158 2.4113 4.6000
Ce 6.9760 7.2601 4.6000
Ce 11.4951 5.3898 4.6000
Ge 8.6956 5.0204 5.9345
Ge 8.6956 5.0204 0.0398
Se 9.8331 7.9140 4.3208
Se 10.6328 2.5885 4.3208
Se 5.6210 4.5587 4.3208
Se 11.7702 5.4821 1.6535
Se 6.7584 7.4523 1.6535
Se 7.5581 2.1268 1.6535
```

Formation energy (no corrections)   -1426 meV/atom
Total moment   4.1 Bohr magnetons per cell

***

Record 14
# Ce4Ge2Se5

A relaxed Ce4Ge2Se5 crystal (PBE, Alexandria).

Cell and atoms, written as extended XYZ:
```
11
Lattice="-3.1340 -1.7243 2.3640 -1.5522 -5.1662 -5.8262 8.3416 -2.4601 5.3761" Properties=species:S:1:pos:R:3 pbc="T T T"
Ce 0.2804 -6.0267 -0.1359
Ce -1.1612 -3.8756 -4.3663
Ce 3.3749 -3.3240 2.0497
Ce 4.8165 -5.4751 6.2802
Ge -1.5919 -4.1821 -1.2725
Ge 5.2472 -5.1686 3.1864
Se 0.8466 -5.7923 -3.1026
Se 2.8087 -3.5584 5.0164
Se 1.5929 -3.3012 -0.2961
Se -1.5670 -0.8622 1.1820
Se 2.0624 -6.0495 2.2099
```

Formation energy (no corrections)   -1293 meV/atom
Total moment   2.6 Bohr magnetons per cell

***

Record 15
# Ce6GeSe5

A relaxed Ce6GeSe5 crystal (PBE, Alexandria).

Cell and atoms, written as extended XYZ:
```
12
Lattice="7.2141 0.1737 1.0948 1.7701 6.1150 3.5647 0.1204 0.0645 7.2964" Properties=species:S:1:pos:R:3 pbc="T T T"
Ge 0.0000 0.0000 0.0000
Se 3.9827 1.1506 6.0029
Se 0.6300 2.0594 3.6212
Se 4.4921 3.1444 2.3297
Se 1.2604 4.1201 7.2399
Se 5.1219 5.2026 5.9529
Ce 5.6069 0.6592 3.5350
Ce 2.8707 3.6468 4.7772
Ce 2.2343 1.5632 1.1584
Ce 6.7499 4.7255 3.5011
Ce 6.2338 2.7064 7.1786
Ce 3.4977 5.6940 8.4208
```

Formation energy (no corrections)   -1659 meV/atom
Total moment   5.3 Bohr magnetons per cell

***

Record 16
# CeGeSe3

A relaxed CeGeSe3 crystal (PBE, Alexandria).

Cell and atoms, written as extended XYZ:
```
20
Lattice="4.0062 0.0000 0.0000 0.0000 8.2700 0.0000 0.0000 0.0000 14.7890" Properties=species:S:1:pos:R:3 pbc="T T T"
Ce 3.0047 7.1368 11.9133
Ce 1.0016 1.1332 2.8757
Ce 3.0047 3.0018 10.2701
Ce 1.0016 5.2682 4.5188
Ge 1.0016 2.6784 13.9982
Ge 1.0016 6.8134 8.1853
Ge 3.0047 1.4566 6.6037
Ge 3.0047 5.5916 0.7908
Se 1.0016 2.8729 8.1994
Se 3.0047 6.9789 3.0735
Se 3.0047 4.1525 13.0154
Se 3.0047 0.0175 9.1680
Se 3.0047 5.3971 6.5896
Se 1.0016 8.2525 5.6209
Se 1.0016 7.0079 13.9841
Se 3.0047 2.8439 4.3210
Se 1.0016 5.4261 10.4680
Se 1.0016 1.2911 11.7155
Se 3.0047 1.2621 0.8049
Se 1.0016 4.1175 1.7736
```

Formation energy (no corrections)   -1010 meV/atom
Total moment   0.6 Bohr magnetons per cell
Energy relative to the lowest polymorph listed for this composition   0 meV/atom